No. 1
Here is a relaxed Th4P2CN crystal from Alexandria. Energies are from PBE.

```
Th4P2CN
1.0
6.738 0.000 0.000
0.000 3.899 0.000
-2.250 0.000 6.576
Th P C N
4 2 1 1
Direct
0.240 0.000 0.218 Th
0.260 0.500 0.782 Th
0.740 0.500 0.218 Th
0.760 0.000 0.782 Th
0.000 0.000 0.500 P
0.500 0.500 0.500 P
0.000 0.500 0.000 C
0.500 0.000 0.000 N
```

Values from the calculation:
Formation energy from raw total energies = -1.1932 eV/atom
Symmetry = P2/m (10)
D(E_F) = 0.517 states/eV/atom

=====

No. 2
Here is a relaxed ScNi2Au2 crystal from Alexandria. Energies are from PBE.

```
ScNi2Au2
1.0
-1.783 1.783 6.551
1.783 -1.783 6.551
1.783 1.783 -6.551
Sc Ni Au
1 2 2
Direct
0.000 0.000 0.000 Sc
0.250 0.750 0.500 Ni
0.750 0.250 0.500 Ni
0.394 0.394 0.000 Au
0.606 0.606 0.000 Au
```

Values from the calculation:
Symmetry = I4/mmm (139)
Energy relative to the elements = -0.2261 eV/atom
D(E_F) = 1.215 states/eV/atom

=====

No. 3
Here is a relaxed RhPbI2N crystal from Alexandria. Energies are from PBE.

```
RhPbI2N
1.0
6.200 0.000 0.000
0.000 6.200 0.000
0.000 0.000 4.165
Rh Pb I N
1 1 2 1
Direct
0.000 0.000 0.000 Rh
0.500 0.500 0.500 Pb
0.000 0.500 0.500 I
0.500 0.000 0.500 I
0.500 0.500 0.000 N
```

Values from the calculation:
Formation energy from raw total energies = 1.3569 eV/atom
Symmetry = P4/mmm (123)
D(E_F) = 1.789 states/eV/atom

=====

No. 4
Here is a relaxed Al2WAu crystal from Alexandria. Energies are from PBE.

```
Al2WAu
1.0
2.778 0.000 0.000
0.000 2.778 0.000
0.000 0.000 8.409
Al W Au
2 1 1
Direct
0.000 0.000 0.000 Al
0.500 0.500 0.250 Al
0.500 0.500 0.761 W
0.000 0.000 0.499 Au
```

Values from the calculation:
Symmetry = P4mm (99)
Energy relative to the elements = 0.0703 eV/atom
D(E_F) = 0.210 states/eV/atom